Density functional theory data (PBE) for a relaxed Pm2ICl2 crystal.

Cell: 7.530 7.530 7.832 Å, 118.73 118.73 90.00°
Each line ends with the local moment (μB).
Atoms (fractional coordinates):
Pm (0.427, 0.182, 0.855)  0.25
Pm (0.432, 0.177, 0.355)  0.25
Pm (0.923, 0.177, 0.355)  0.25
Pm (0.427, 0.673, 0.855)  0.25
I (0.216, 0.716, 0.432)  0.00
I (0.966, 0.966, 0.932)  0.00
Cl (0.680, 0.902, 0.360)  0.00
Cl (0.708, 0.430, 0.860)  0.00
Cl (0.680, 0.458, 0.360)  0.00
Cl (0.152, 0.430, 0.860)  0.00

Computed properties:
Raw total energy (eV per atom): -4.3005
Space-group type: No. 109
Spin magnetization (μB per formula unit): 1.05
Uncorrected formation energy (meV per atom): -1352